(1)
DFT (PBE-GGA) results for a relaxed structure of TaCd2Pb.

```
TaCd2Pb
1.0
2.003 -2.306 0.000
2.003 2.306 0.000
0.000 0.000 10.070
Ta Cd Pb
1 2 1
Cartesian
0.000 0.000 0.000
0.000 0.000 4.560
2.003 0.000 2.155
2.003 0.000 7.665
```

* M_tot: 0.0 μB/cell
* VASP energy: -4.02 eV per atom
* crystal system: orthorhombic

=====

(2)
DFT (PBE-GGA) results for a relaxed structure of TaCdPb2.

```
TaCdPb2
1.0
-1.529 2.490 7.132
1.529 -2.490 7.132
1.529 2.490 -7.132
Ta Cd Pb
1 1 2
Cartesian
0.000 0.000 0.000
0.000 2.490 4.530
1.529 0.000 2.747
0.000 0.000 7.064
```

* M_tot: 0.0 μB/cell
* VASP energy: -4.65 eV per atom
* crystal system: orthorhombic

=====

(3)
DFT (PBE-GGA) results for a relaxed structure of TaCdPb2.

```
TaCdPb2
1.0
5.435 0.000 0.000
0.000 5.435 0.000
0.000 0.000 3.226
Ta Cd Pb
1 1 2
Cartesian
0.000 0.000 0.000
2.718 2.718 0.000
0.000 2.718 1.613
2.718 0.000 1.613
```

* M_tot: 0.1 μB/cell
* VASP energy: -4.50 eV per atom
* crystal system: tetragonal

=====

(4)
DFT (PBE-GGA) results for a relaxed structure of TaCd2Pb.

```
TaCd2Pb
1.0
-2.128 2.128 4.772
2.128 -2.128 4.772
2.128 2.128 -4.772
Ta Cd Pb
1 2 1
Cartesian
0.000 0.000 0.000
2.128 0.000 2.386
0.000 0.000 4.772
0.000 2.128 2.386
```

* M_tot: 0.0 μB/cell
* VASP energy: -3.87 eV per atom
* crystal system: tetragonal

=====

(5)
DFT (PBE-GGA) results for a relaxed structure of TaCd2Pb.

```
TaCd2Pb
1.0
-4.072 4.072 2.886
4.072 -4.072 2.886
4.072 4.072 -2.886
Ta Cd Pb
2 4 2
Cartesian
0.000 0.000 0.000
0.000 4.072 1.443
6.108 1.918 -0.722
1.918 2.036 0.722
-2.036 2.154 2.165
2.154 2.036 3.608
4.072 0.000 1.443
0.000 0.000 2.886
```

* M_tot: 0.0 μB/cell
* VASP energy: -3.66 eV per atom
* crystal system: tetragonal

=====

(6)
DFT (PBE-GGA) results for a relaxed structure of TaCd2Pb.

```
TaCd2Pb
1.0
3.039 0.000 0.000
0.000 3.039 0.000
0.000 0.000 10.112
Ta Cd Pb
1 2 1
Cartesian
0.000 0.000 0.000
0.000 0.000 4.520
1.520 1.520 2.128
1.520 1.520 7.670
```

* M_tot: 0.0 μB/cell
* VASP energy: -4.01 eV per atom
* crystal system: tetragonal

=====

> Number 2 is which compound?

TaCdPb2